A geometry-optimized CsTaTc2 structure, computed with GGA-PBE.

Unit cell a=9.400 b=9.400 c=9.400 alpha=148.02 beta=148.02 gamma=45.85
Element x y z (fractional)
Cs  0.000  0.000  0.000
Cs  0.750  0.250  0.500
Ta  0.250  0.750  0.500
Ta  0.500  0.500  0.000
Tc  0.374  0.625  0.249
Tc  0.375  0.624  0.749
Tc  0.376  0.125  0.751
Tc  0.875  0.626  0.251

Energy relative to the elements = 1.7021 eV per atom
Excess energy over the best structure of this formula in the dataset = 124.4 meV per atom
Symmetry = I-42d, No. 122
Crystal system = tetragonal

=====

A geometry-optimized CsTaTc2 structure, computed with GGA-PBE.

Unit cell a=4.762 b=4.762 c=4.762 alpha=60.00 beta=60.00 gamma=60.00
Element x y z (fractional)
Cs  0.000  0.000  0.000
Ta  0.500  0.500  0.500
Tc  0.250  0.250  0.250
Tc  0.750  0.750  0.750

Energy relative to the elements = 1.5777 eV per atom
Excess energy over the best structure of this formula in the dataset = 0.0 meV per atom
Symmetry = Fm-3m, No. 225
Crystal system = cubic

=====

A geometry-optimized Cs2TaTc structure, computed with GGA-PBE.

Unit cell a=10.157 b=10.157 c=10.157 alpha=92.85 beta=92.85 gamma=154.21
Element x y z (fractional)
Cs  0.375  0.200  0.325
Cs  0.800  0.125  0.175
Cs  0.875  0.050  0.675
Cs  0.950  0.625  0.825
Ta  0.250  0.750  0.500
Ta  0.500  0.500  0.000
Tc  0.000  0.000  0.000
Tc  0.750  0.250  0.500

Energy relative to the elements = 1.4810 eV per atom
Symmetry = I-42d, No. 122
Crystal system = tetragonal

=====

A geometry-optimized CsTa2VTc structure, computed with GGA-PBE.

Unit cell a=4.954 b=4.954 c=5.109 alpha=90.00 beta=90.00 gamma=90.00
Element x y z (fractional)
Cs  0.000  0.000  0.000
Ta  0.000  0.500  0.500
Ta  0.500  0.000  0.500
V  0.500  0.500  0.000
Tc  0.500  0.500  0.500

Energy relative to the elements = 1.4725 eV per atom
Symmetry = P4/mmm, No. 123
Crystal system = tetragonal

=====

A geometry-optimized Cs2TaTe8 structure, computed with GGA-PBE.

Unit cell a=9.194 b=9.194 c=7.093 alpha=90.52 beta=90.52 gamma=52.60
Element x y z (fractional)
Cs  0.200  0.200  0.336
Cs  0.800  0.800  0.664
Ta  0.500  0.500  0.000
Te  0.045  0.045  0.734
Te  0.150  0.612  0.079
Te  0.388  0.850  0.921
Te  0.436  0.436  0.632
Te  0.564  0.564  0.368
Te  0.612  0.150  0.079
Te  0.850  0.388  0.921
Te  0.955  0.955  0.266

Symmetry = C2/m, No. 12
Crystal system = monoclinic
ΔE_f (raw) = -0.363 eV per atom

=====

A geometry-optimized Cs4TaTe4 structure, computed with GGA-PBE.

Unit cell a=8.709 b=8.709 c=8.709 alpha=101.15 beta=101.15 gamma=127.83
Element x y z (fractional)
Cs  0.079  0.708  0.787
Cs  0.292  0.079  0.371
Cs  0.708  0.921  0.629
Cs  0.921  0.292  0.213
Ta  0.500  0.500  0.000
Te  0.264  0.422  0.685
Te  0.422  0.736  0.158
Te  0.578  0.264  0.842
Te  0.736  0.578  0.315

Excess energy over the best structure of this formula in the dataset = 173.1 meV per atom
Symmetry = I4/m, No. 87
Crystal system = tetragonal
ΔE_f (raw) = -0.639 eV per atom

=====

A geometry-optimized CsTa5Te8 structure, computed with GGA-PBE.

Unit cell a=10.879 b=10.879 c=9.943 alpha=105.65 beta=105.65 gamma=19.87
Element x y z (fractional)
Cs  0.000  0.000  0.000
Ta  0.151  0.151  0.524
Ta  0.197  0.197  0.823
Ta  0.465  0.465  0.478
Ta  0.776  0.776  0.121
Ta  0.854  0.854  0.482
Te  0.055  0.055  0.658
Te  0.253  0.253  0.325
Te  0.327  0.327  0.970
Te  0.404  0.404  0.689
Te  0.574  0.574  0.341
Te  0.647  0.647  0.980
Te  0.748  0.748  0.643
Te  0.914  0.914  0.269

Symmetry = Cm, No. 8
Crystal system = monoclinic
ΔE_f (raw) = -0.311 eV per atom

=====

A geometry-optimized Cs2Ta4Te7 structure, computed with GGA-PBE.

Unit cell a=7.355 b=7.355 c=9.851 alpha=90.00 beta=90.00 gamma=120.00
Element x y z (fractional)
Cs  0.333  0.667  0.000
Cs  0.667  0.333  0.000
Ta  0.000  0.000  0.269
Ta  0.000  0.000  0.731
Ta  0.333  0.667  0.500
Ta  0.667  0.333  0.500
Te  0.000  0.000  0.000
Te  0.000  0.356  0.338
Te  0.000  0.644  0.662
Te  0.356  0.000  0.338
Te  0.356  0.356  0.662
Te  0.644  0.000  0.662
Te  0.644  0.644  0.338

Symmetry = P-31m, No. 162
Crystal system = trigonal
ΔE_f (raw) = -0.057 eV per atom

=====

A geometry-optimized Cs2Ta2Te5 structure, computed with GGA-PBE.

Unit cell a=8.515 b=8.515 c=9.565 alpha=99.82 beta=99.82 gamma=36.68
Element x y z (fractional)
Cs  0.075  0.075  0.309
Cs  0.925  0.925  0.691
Ta  0.356  0.356  0.097
Ta  0.644  0.644  0.903
Te  0.184  0.184  0.974
Te  0.380  0.380  0.372
Te  0.500  0.500  0.000
Te  0.620  0.620  0.628
Te  0.816  0.816  0.026

Symmetry = C2/m, No. 12
Crystal system = monoclinic
ΔE_f (raw) = -0.440 eV per atom

=====

A geometry-optimized Cs2TaTe5 structure, computed with GGA-PBE.

Unit cell a=6.333 b=8.279 c=9.853 alpha=65.63 beta=71.30 gamma=90.00
Element x y z (fractional)
Cs  0.000  0.000  0.000
Cs  0.335  0.334  0.328
Ta  0.112  0.613  0.772
Te  0.429  0.431  0.661
Te  0.430  0.905  0.657
Te  0.907  0.431  0.661
Te  0.909  0.906  0.657
Te  0.957  0.463  0.083

Symmetry = P1, No. 1
Crystal system = triclinic
ΔE_f (raw) = -0.532 eV per atom

=====

A geometry-optimized CsTaTe2 structure, computed with GGA-PBE.

Unit cell a=7.667 b=7.667 c=7.667 alpha=112.34 beta=112.34 gamma=103.87
Element x y z (fractional)
Cs  0.000  0.000  0.000
Cs  0.750  0.250  0.500
Ta  0.250  0.750  0.500
Ta  0.500  0.500  0.000
Te  0.234  0.125  0.609
Te  0.375  0.766  0.891
Te  0.516  0.625  0.391
Te  0.875  0.484  0.109

Symmetry = I-42d, No. 122
Crystal system = tetragonal
ΔE_f (raw) = -0.229 eV per atom

=====

A geometry-optimized CsTaTe4 structure, computed with GGA-PBE.

Unit cell a=9.880 b=9.880 c=6.107 alpha=94.69 beta=94.69 gamma=51.70
Element x y z (fractional)
Cs  0.189  0.189  0.200
Cs  0.811  0.811  0.800
Ta  0.484  0.484  0.728
Ta  0.516  0.516  0.272
Te  0.198  0.604  0.386
Te  0.233  0.767  0.000
Te  0.325  0.325  0.738
Te  0.396  0.802  0.614
Te  0.604  0.198  0.386
Te  0.675  0.675  0.262
Te  0.767  0.233  0.000
Te  0.802  0.396  0.614

Symmetry = C2/m, No. 12
Crystal system = monoclinic
ΔE_f (raw) = -0.423 eV per atom

=====

no.,calculated volume (Å³ per cell)
1,232.1
2,76.3
3,444.3
4,125.4
5,476.3
6,468.6
7,384.6
8,461.5
9,407.5
10,440.5
11,344.5
12,465.9